# 1
The following is a DFT calculation (GGA-PBEsol) of a relaxed structure of Zn2PbCl.

Structure (extended XYZ):
```
4
Lattice="3.676 0.000 0.000 0.000 3.676 0.000 0.000 0.000 6.482" Properties=species:S:1:pos:R:3 pbc="T T T"
Cl 0.000 0.000 2.702
Zn 1.838 1.838 1.607
Zn 0.000 0.000 0.133
Pb 1.838 1.838 5.281
```

Values from the calculation:
SG: P4mm (99)
E above lowest polymorph: 0 meV/atom
ΔE_f (raw): -83 meV/atom
M_tot: 0.00 μB per cell



# 2
The following is a DFT calculation (GGA-PBEsol) of a relaxed structure of ZnPb2Cl.

Structure (extended XYZ):
```
4
Lattice="3.314 0.000 0.000 0.000 3.314 0.000 0.000 0.000 8.966" Properties=species:S:1:pos:R:3 pbc="T T T"
Cl 1.657 1.657 6.118
Pb 1.657 1.657 2.595
Pb 0.000 0.000 0.008
Zn 0.000 0.000 4.728
```

Values from the calculation:
SG: P4mm (99)
E above lowest polymorph: 32 meV/atom
ΔE_f (raw): -121 meV/atom
M_tot: 0.00 μB per cell